1.
DFT (PBE) results for a geometry-optimized Be2Os structure.

The energy relative to the lowest polymorph listed for this composition comes out at 9 meV/atom. For the magnetic moment, the calculation gives 0.00 μB per atom.

It has space group P6_3/mmc (No. 194), with a = 4.3588 Å, b = 4.3588 Å, c = 14.2094 Å, α = 90.00°, β = 90.00° and γ = 120.00°. The asymmetric unit holds Be at (0.0000, 0.5000, 0.0000), Be at (0.1643, 0.3286, 0.2500), Be at (0.3333, 0.6667, 0.1246), Os at (0.0000, 0.0000, 0.0939) and Os at (0.3333, 0.6667, 0.6580).

---

2.
DFT (PBE) results for a geometry-optimized BePOs4 structure.

The value obtained for the total energy is -7.88 eV/atom. For the magnetic moment, the calculation gives 0.00 μB per atom.

It has space group F-43m (No. 216), with a = 7.245 Å, b = 7.245 Å, c = 7.245 Å, α = 90.00°, β = 90.00° and γ = 90.00°. The asymmetric unit holds Be at (0.000, 0.000, 0.000), P at (0.250, 0.250, 0.250) and Os at (0.125, 0.125, 0.625).

---

3.
DFT (PBE) results for a geometry-optimized Be2POs2 structure.

The energy relative to the lowest polymorph listed for this composition comes out at 0 meV/atom. For the magnetic moment, the calculation gives 0.00 μB per atom.

It has space group P4/mbm (No. 127), with a = 6.158 Å, b = 6.158 Å, c = 3.187 Å, α = 90.00°, β = 90.00° and γ = 90.00°. The asymmetric unit holds Be at (0.130, 0.370, 0.000), P at (0.000, 0.000, 0.500) and Os at (0.162, 0.662, 0.500).

---

4.
DFT (PBE) results for a geometry-optimized Be4POs structure.

The value obtained for the total energy is -5.42 eV/atom. For the magnetic moment, the calculation gives 0.00 μB per atom.

It has space group F-43m (No. 216), with a = 6.093 Å, b = 6.093 Å, c = 6.093 Å, α = 90.00°, β = 90.00° and γ = 90.00°. The asymmetric unit holds Be at (0.124, 0.124, 0.124), P at (0.000, 0.000, 0.500) and Os at (0.250, 0.250, 0.750).

---

5.
DFT (PBE) results for a geometry-optimized Be3POs structure.

The energy relative to the lowest polymorph listed for this composition comes out at 21 meV/atom. For the magnetic moment, the calculation gives 0.00 μB per atom.

It has space group Pm-3m (No. 221), with a = 4.205 Å, b = 4.205 Å, c = 4.205 Å, α = 90.00°, β = 90.00° and γ = 90.00°. The asymmetric unit holds Be at (0.000, 0.000, 0.500), P at (0.500, 0.500, 0.500) and Os at (0.000, 0.000, 0.000).

---

6.
DFT (PBE) results for a geometry-optimized Be2POs2 structure.

The energy relative to the lowest polymorph listed for this composition comes out at 177 meV/atom. For the magnetic moment, the calculation gives 0.00 μB per atom.

It has space group P4/mbm (No. 127), with a = 6.047 Å, b = 6.047 Å, c = 3.073 Å, α = 90.00°, β = 90.00° and γ = 90.00°. The asymmetric unit holds Be at (0.122, 0.378, 0.000), P at (0.000, 0.000, 0.000) and Os at (0.173, 0.673, 0.500).

---

7.
DFT (PBE) results for a geometry-optimized Be3POs structure.

The energy relative to the lowest polymorph listed for this composition comes out at 0 meV/atom. For the magnetic moment, the calculation gives 0.20 μB per atom.

It has space group Pm-3m (No. 221), with a = 3.978 Å, b = 3.978 Å, c = 3.978 Å, α = 90.00°, β = 90.00° and γ = 90.00°. The asymmetric unit holds Be at (0.000, 0.000, 0.500), P at (0.000, 0.000, 0.000) and Os at (0.500, 0.500, 0.500).

---

8.
DFT (PBE) results for a geometry-optimized PaBePOs structure.

The value obtained for the total energy is -8.10 eV/atom. For the magnetic moment, the calculation gives 0.00 μB per atom.

It has space group P4/nmm (No. 129, origin choice 2), with a = 4.013 Å, b = 4.013 Å, c = 8.266 Å, α = 90.00°, β = 90.00° and γ = 90.00°. The asymmetric unit holds Pa at (0.250, 0.250, 0.227), Be at (0.250, 0.250, 0.634), P at (0.250, 0.250, 0.885) and Os at (0.250, 0.750, 0.500).

---

9.
DFT (PBE) results for a geometry-optimized BePOsS2 structure.

The energy relative to the lowest polymorph listed for this composition comes out at 17 meV/atom. The raw formation energy is 500.4 kJ/mol of formula units. For the magnetic moment, the calculation gives 0.00 μB per atom.

It has space group P4/mmm (No. 123), with a = 4.746 Å, b = 4.746 Å, c = 4.448 Å, α = 90.00°, β = 90.00° and γ = 90.00°. The asymmetric unit holds Be at (0.000, 0.000, 0.000), P at (0.500, 0.500, 0.000), Os at (0.500, 0.500, 0.500) and S at (0.000, 0.500, 0.500).

---

10.
DFT (PBE) results for a geometry-optimized BePOsS2 structure.

The energy relative to the lowest polymorph listed for this composition comes out at 0 meV/atom. The raw formation energy is 492.1 kJ/mol of formula units. For the magnetic moment, the calculation gives 0.00 μB per atom.

It has space group P4/mmm (No. 123), with a = 4.189 Å, b = 4.189 Å, c = 4.033 Å, α = 90.00°, β = 90.00° and γ = 90.00°. The asymmetric unit holds Be at (0.000, 0.000, 0.000), P at (0.000, 0.000, 0.500), Os at (0.500, 0.500, 0.500) and S at (0.000, 0.500, 0.000).

---

11.
DFT (PBE) results for a geometry-optimized Ti2BePOs structure.

The value obtained for the total energy is -7.06 eV/atom. For the magnetic moment, the calculation gives 0.00 μB per atom.

It has space group P4/mmm (No. 123), with a = 4.554 Å, b = 4.554 Å, c = 3.727 Å, α = 90.00°, β = 90.00° and γ = 90.00°. The asymmetric unit holds Ti at (0.000, 0.500, 0.000), Be at (0.000, 0.000, 0.500), P at (0.000, 0.000, 0.000) and Os at (0.500, 0.500, 0.500).

---

12.
DFT (PBE) results for a geometry-optimized Y2BePOs structure.

The value obtained for the total energy is -6.44 eV/atom. For the magnetic moment, the calculation gives 0.00 μB per atom.

It has space group P4/mmm (No. 123), with a = 5.429 Å, b = 5.429 Å, c = 4.391 Å, α = 90.00°, β = 90.00° and γ = 90.00°. The asymmetric unit holds Y at (0.000, 0.500, 0.000), Be at (0.000, 0.000, 0.500), P at (0.500, 0.500, 0.500) and Os at (0.500, 0.500, 0.000).